(one)
Entry from Alexandria: a geometry-optimized TlPb4Br8 structure (PBE).

Lattice parameters (Å, degrees): 9.331 9.331 9.331 60.00 60.00 60.00
Atoms (fractional coordinates):
Tl 0.000 0.000 0.000
Pb 0.135 0.622 0.622
Pb 0.622 0.135 0.622
Pb 0.622 0.622 0.135
Pb 0.622 0.622 0.622
Br 0.389 0.389 0.389
Br 0.389 0.389 0.834
Br 0.389 0.834 0.389
Br 0.422 0.859 0.859
Br 0.834 0.389 0.389
Br 0.859 0.422 0.859
Br 0.859 0.859 0.422
Br 0.859 0.859 0.859

crystal system	cubic
theoretical density	4.8	g/cm3


(two)
Entry from Alexandria: a geometry-optimized TlPb4Br8 structure (PBE).

Lattice parameters (Å, degrees): 9.072 9.072 9.072 61.13 61.13 61.13
Atoms (fractional coordinates):
Tl 0.000 0.000 0.000
Pb 0.000 0.000 0.500
Pb 0.000 0.500 0.000
Pb 0.500 0.000 0.000
Pb 0.500 0.500 0.500
Br 0.238 0.238 0.238
Br 0.242 0.739 0.739
Br 0.261 0.261 0.758
Br 0.261 0.758 0.261
Br 0.739 0.242 0.739
Br 0.739 0.739 0.242
Br 0.758 0.261 0.261
Br 0.762 0.762 0.762

crystal system	trigonal
theoretical density	5.1	g/cm3


What are the relative energies? In kJ/mol of atoms: (one) 1.0; (two) 0.0.


(one)
Entry from Alexandria: a geometry-optimized TlPbBr structure (PBE).

Lattice parameters (Å, degrees): 4.206 4.786 10.444 90.00 90.00 90.00
Atoms (fractional coordinates):
Tl 0.250 0.250 0.188
Tl 0.750 0.750 0.812
Pb 0.250 0.250 0.553
Pb 0.750 0.750 0.447
Br 0.250 0.250 0.872
Br 0.750 0.750 0.128

crystal system	orthorhombic
theoretical density	7.8	g/cm3


(two)
Entry from Alexandria: a geometry-optimized TlPbBr structure (PBE).

Lattice parameters (Å, degrees): 3.997 3.998 13.453 81.68 81.55 89.99
Atoms (fractional coordinates):
Tl 0.000 0.000 0.000
Tl 0.153 0.147 0.690
Pb 0.316 0.308 0.361
Pb 0.752 0.745 0.489
Br 0.435 0.435 0.131
Br 0.587 0.583 0.824

crystal system	triclinic
theoretical density	7.8	g/cm3


What are the relative energies? In kJ/mol of atoms: (one) 2.0; (two) 0.0.


(one)
Entry from Alexandria: a geometry-optimized TlPbBr structure (PBE).

Lattice parameters (Å, degrees): 4.099 5.200 9.810 90.00 90.94 90.00
Atoms (fractional coordinates):
Tl 0.000 0.000 0.000
Tl 0.012 0.000 0.664
Pb 0.007 0.000 0.332
Pb 0.507 0.500 0.330
Br 0.499 0.500 0.019
Br 0.514 0.500 0.642

crystal system	monoclinic
theoretical density	7.8	g/cm3


(two)
Entry from Alexandria: a geometry-optimized TlPbBr structure (PBE).

Lattice parameters (Å, degrees): 13.031 3.826 3.826 86.51 90.00 90.00
Atoms (fractional coordinates):
Tl 0.000 0.000 0.000
Tl 0.500 0.376 0.376
Pb 0.158 0.504 0.504
Pb 0.842 0.504 0.504
Br 0.339 0.878 0.878
Br 0.661 0.878 0.878

crystal system	orthorhombic
theoretical density	8.6	g/cm3


What are the relative energies? In kJ/mol of atoms: (one) 0.0; (two) 3.9.